Here is crystalline Fe2AgO at its relaxed geometry from Alexandria via LeMat-Bulk. Energies are from PBE+U.

Cell lengths 5.653, 5.653, 5.653 Å; angles 115.70, 115.70, 97.63 degrees
Sites, in units of the cell vectors:
Fe (0.027, 0.625, 0.902)
Fe (0.375, 0.277, 0.402)
Fe (0.723, 0.125, 0.098)
Fe (0.875, 0.973, 0.598)
Ag (0.250, 0.750, 0.500)
Ag (0.500, 0.500, 0.000)
O (0.000, 0.000, 0.000)
O (0.750, 0.250, 0.500)

Calculated values
Size of the total moment   7.42 μB per formula unit
E_tot   -39.87 eV/cell
DOS at the Fermi energy   2.71 states/eV/cell